Entry 1:
Compound: Pu2PdBr
Source: the Alexandria database
Functional: GGA-PBE
Structure: optimized geometry

```
data_Pu2PdBr
_cell_length_a 3.461
_cell_length_b 3.461
_cell_length_c 8.014
_cell_angle_alpha 90.00
_cell_angle_beta 90.00
_cell_angle_gamma 90.00
_space_group_name_H-M_alt 'P 4/m m m'
_space_group_IT_number 123
_space_group_name_Hall '-P 4 2'
loop_
_atom_site_label
_atom_site_type_symbol
_atom_site_fract_x
_atom_site_fract_y
_atom_site_fract_z
_atom_site_occupancy
Pu1 Pu 0.000 0.000 0.224 1
Pd1 Pd 0.500 0.500 0.000 1
Br1 Br 0.500 0.500 0.500 1
```

## Properties
ΔE_f (raw)	-58.0	kJ/mol of atoms
distance to the lowest polymorph of the same formula	0.00	eV per formula unit

=====

Entry 2:
Compound: PuPdBr6
Source: the Alexandria database
Functional: GGA-PBE
Structure: optimized geometry

```
data_PuPdBr6
_cell_length_a 7.214
_cell_length_b 12.508
_cell_length_c 6.645
_cell_angle_alpha 90.00
_cell_angle_beta 90.48
_cell_angle_gamma 90.00
_space_group_name_H-M_alt 'C 1 2/m 1'
_space_group_IT_number 12
loop_
_space_group_symop_operation_xyz
'x,y,z'
'-x,-y,-z'
'-x,y,-z'
'x,-y,z'
'x+1/2,y+1/2,z'
'-x+1/2,-y+1/2,-z'
'-x+1/2,y+1/2,-z'
'x+1/2,-y+1/2,z'
loop_
_atom_site_label
_atom_site_type_symbol
_atom_site_fract_x
_atom_site_fract_y
_atom_site_fract_z
_atom_site_occupancy
Pu1 Pu 0.000 0.000 0.000 1
Pd1 Pd 0.000 0.000 0.500 1
Br1 Br 0.150 0.149 0.260 1
Br2 Br 0.201 0.500 0.256 1
```

## Properties
ΔE_f (raw)	-85.0	kJ/mol of atoms
distance to the lowest polymorph of the same formula	0.00	eV per formula unit